# NdThIr

Crystalline NdThIr at its relaxed geometry (GGA-PBE, Alexandria).

Unit cell a=6.268 b=6.268 c=6.268 alpha=145.80 beta=145.80 gamma=49.14
Atoms (fractional coordinates):
1 Nd 0.000 0.000 0.000
2 Th 0.293 0.293 0.000
3 Ir 0.677 0.677 0.000

Size of the total moment = 0.0 μB/cell
Polymorph energy (0 for the lowest one) = 68 meV/atom
Calculated density = 12.2 g cm⁻³
Symmetry = I4mm